Entry 1:
# Th4CS5

Th4CS5 after structural relaxation (PBE, Alexandria via LeMat-Bulk).

```
Th4CS5
1.0
8.7440 -2.0252 0.0000
8.7440 2.0252 0.0000
-2.0909 0.0000 7.4757
Th C S
4 1 5
Direct
0.0015 0.0015 0.2653 Th
0.3382 0.3382 0.3923 Th
0.6618 0.6618 0.6077 Th
0.9985 0.9985 0.7347 Th
0.5000 0.5000 0.5000 C
0.1637 0.1637 0.8481 S
0.1698 0.1698 0.3542 S
0.5000 0.5000 0.0000 S
0.8302 0.8302 0.6458 S
0.8363 0.8363 0.1519 S
```

Results
The value obtained for the uncorrected formation energy is -1544.0 meV per atom.

Entry 2:
# BaAlBr6

BaAlBr6 after structural relaxation (PBE, Alexandria via LeMat-Bulk).

```
BaAlBr6
1.0
7.1660 0.0000 0.0000
3.5819 6.2131 0.0000
3.5684 2.0536 6.2255
Ba Al Br
1 1 6
Direct
0.0000 0.0000 0.0000 Ba
0.5000 0.5000 0.5000 Al
0.1125 0.4762 0.7286 Br
0.3160 0.8879 0.2740 Br
0.4783 0.6812 0.7293 Br
0.5217 0.3188 0.2707 Br
0.6840 0.1121 0.7260 Br
0.8875 0.5238 0.2714 Br
```

Results
The value obtained for the uncorrected formation energy is -1208.4 meV per atom.

Entry 3:
# TbSmHo4

TbSmHo4 after structural relaxation (PBE, Alexandria via LeMat-Bulk).

```
TbSmHo4
1.0
11.2350 0.0000 0.0000
0.0000 5.0019 0.0000
-2.2547 0.0000 6.7314
Tb Sm Ho
2 2 8
Direct
0.0000 0.0000 0.0000 Tb
0.5000 0.5000 0.0000 Tb
0.0000 0.0000 0.5000 Sm
0.5000 0.5000 0.5000 Sm
0.1667 0.5000 0.3328 Ho
0.1675 0.5000 0.8344 Ho
0.3325 0.0000 0.1656 Ho
0.3333 0.0000 0.6672 Ho
0.6667 0.0000 0.3328 Ho
0.6675 0.0000 0.8344 Ho
0.8325 0.5000 0.1656 Ho
0.8333 0.5000 0.6672 Ho
```

Results
Its energy above the most stable polymorph in this dataset is 0 meV/atom. As for the energy of formation: 0.02 eV/atom.

Entry 4:
# CaSiPd

CaSiPd after structural relaxation (PBE, Alexandria via LeMat-Bulk).

```
CaSiPd
1.0
5.8980 0.0000 0.0000
0.0000 5.7491 0.0000
-3.4245 0.0000 7.0036
Ca Si Pd
4 4 4
Direct
0.2030 0.1259 0.3842 Ca
0.2030 0.3741 0.8842 Ca
0.7970 0.6259 0.1158 Ca
0.7970 0.8741 0.6158 Ca
0.2137 0.6170 0.5434 Si
0.2137 0.8830 0.0434 Si
0.7863 0.1170 0.9566 Si
0.7863 0.3830 0.4566 Si
0.3875 0.6121 0.3097 Pd
0.3875 0.8879 0.8097 Pd
0.6125 0.1121 0.1903 Pd
0.6125 0.3879 0.6903 Pd
```

Results
The value obtained for the uncorrected formation energy is -783.2 meV per atom.

Entry 5:
# LiAl2HF

LiAl2HF after structural relaxation (PBE, Alexandria via LeMat-Bulk).

```
LiAl2HF
1.0
4.2849 0.0000 0.0000
0.0000 4.2849 0.0000
0.0000 0.0000 4.4989
Li Al H F
1 2 1 1
Direct
0.0000 0.0000 0.0000 Li
0.0000 0.5000 0.5000 Al
0.5000 0.0000 0.5000 Al
0.5000 0.5000 0.0000 H
0.5000 0.5000 0.5000 F
```

Entry 6:
# BaAcMnSe4

BaAcMnSe4 after structural relaxation (PBE, Alexandria via LeMat-Bulk).

```
BaAcMnSe4
1.0
3.4822 -8.0932 0.0000
3.4822 8.0932 0.0000
0.0000 0.0000 6.9721
Ba Ac Mn Se
2 2 2 8
Direct
0.1082 0.8918 0.7500 Ba
0.8918 0.1082 0.2500 Ba
0.3835 0.6165 0.7500 Ac
0.6165 0.3835 0.2500 Ac
0.2460 0.7540 0.2500 Mn
0.7540 0.2460 0.7500 Mn
0.0000 0.5000 0.0000 Se
0.0000 0.5000 0.5000 Se
0.0886 0.9114 0.2500 Se
0.4246 0.5754 0.2500 Se
0.5000 0.0000 0.0000 Se
0.5000 0.0000 0.5000 Se
0.5754 0.4246 0.7500 Se
0.9114 0.0886 0.7500 Se
```

Results
The value obtained for the uncorrected formation energy is -1436.1 meV per atom.

Entry 7:
# Li3Cd2Hg4Au2

Li3Cd2Hg4Au2 after structural relaxation (PBE, Alexandria via LeMat-Bulk).

```
Li3Cd2Hg4Au2
1.0
4.6511 0.0000 0.0000
-2.3255 4.0279 0.0000
0.0000 0.0000 13.6250
Li Cd Hg Au
3 2 4 2
Direct
0.0000 0.0000 0.0000 Li
0.0000 0.0000 0.2242 Li
0.0000 0.0000 0.7758 Li
0.3333 0.6667 0.5645 Cd
0.6667 0.3333 0.4355 Cd
0.3333 0.6667 0.3414 Hg
0.3333 0.6667 0.9149 Hg
0.6667 0.3333 0.0851 Hg
0.6667 0.3333 0.6586 Hg
0.3333 0.6667 0.1377 Au
0.6667 0.3333 0.8623 Au
```

Results
As for the energy of formation: -0.20 eV/atom.

Entry 8:
# PmEuGdDy

PmEuGdDy after structural relaxation (PBE, Alexandria via LeMat-Bulk).

```
PmEuGdDy
1.0
8.1792 0.0000 0.0000
0.0000 8.1792 0.0000
0.0000 0.0000 8.1792
Pm Eu Gd Dy
4 4 4 4
Direct
0.0000 0.0000 0.0000 Pm
0.0000 0.5000 0.5000 Pm
0.5000 0.0000 0.5000 Pm
0.5000 0.5000 0.0000 Pm
0.2500 0.2500 0.2500 Eu
0.2500 0.7500 0.7500 Eu
0.7500 0.2500 0.7500 Eu
0.7500 0.7500 0.2500 Eu
0.2500 0.2500 0.7500 Gd
0.2500 0.7500 0.2500 Gd
0.7500 0.2500 0.2500 Gd
0.7500 0.7500 0.7500 Gd
0.0000 0.0000 0.5000 Dy
0.0000 0.5000 0.0000 Dy
0.5000 0.0000 0.0000 Dy
0.5000 0.5000 0.5000 Dy
```

Results
As for the energy of formation: 0.13 eV/atom.

Entry 9:
# KAsBr2F

KAsBr2F after structural relaxation (PBE, Alexandria via LeMat-Bulk).

```
KAsBr2F
1.0
6.1328 0.0000 0.0000
0.0000 6.1328 0.0000
0.0000 0.0000 7.7747
K As Br F
1 1 2 1
Direct
0.0000 0.0000 0.0000 K
0.0000 0.0000 0.5000 As
0.0000 0.5000 0.0000 Br
0.5000 0.0000 0.0000 Br
0.5000 0.5000 0.5000 F
```

Results
Its energy above the most stable polymorph in this dataset is 1049 meV/atom. The value obtained for the uncorrected formation energy is 269.4 meV per atom.

Entry 10:
# LaEr2S4

LaEr2S4 after structural relaxation (PBE, Alexandria via LeMat-Bulk).

```
LaEr2S4
1.0
1.9486 -6.4358 0.0000
1.9486 6.4358 0.0000
0.0000 0.0000 13.1700
La Er S
2 4 8
Direct
0.1211 0.8789 0.7500 La
0.8789 0.1211 0.2500 La
0.3693 0.6307 0.5660 Er
0.3693 0.6307 0.9340 Er
0.6307 0.3693 0.0660 Er
0.6307 0.3693 0.4340 Er
0.0000 0.0000 0.0000 S
0.0000 0.0000 0.5000 S
0.2708 0.7292 0.1182 S
0.2708 0.7292 0.3818 S
0.4558 0.5442 0.7500 S
0.5442 0.4558 0.2500 S
0.7292 0.2708 0.6182 S
0.7292 0.2708 0.8818 S
```

Results
The value obtained for the uncorrected formation energy is -2125.1 meV per atom.

Entry 11:
# GaTc2Au

GaTc2Au after structural relaxation (PBE, Alexandria via LeMat-Bulk).

```
GaTc2Au
1.0
7.2437 0.0000 0.0000
0.0000 7.2437 0.0000
0.0000 0.0000 5.1091
Ga Tc Au
4 8 4
Direct
0.0000 0.0000 0.0000 Ga
0.0000 0.5000 0.2500 Ga
0.5000 0.0000 0.7500 Ga
0.5000 0.5000 0.5000 Ga
0.2203 0.2500 0.1250 Tc
0.2500 0.7203 0.3750 Tc
0.2500 0.7797 0.8750 Tc
0.2797 0.2500 0.6250 Tc
0.7203 0.7500 0.6250 Tc
0.7500 0.2203 0.8750 Tc
0.7500 0.2797 0.3750 Tc
0.7797 0.7500 0.1250 Tc
0.0000 0.0000 0.5000 Au
0.0000 0.5000 0.7500 Au
0.5000 0.0000 0.2500 Au
0.5000 0.5000 0.0000 Au
```

Results
As for the energy of formation: 0.61 eV/atom.

Entry 12:
# TmPuGe2

TmPuGe2 after structural relaxation (PBE, Alexandria via LeMat-Bulk).

```
TmPuGe2
1.0
3.2873 0.0000 0.0000
0.0000 3.2873 0.0000
0.0000 0.0000 8.0927
Tm Pu Ge
1 1 2
Direct
0.0000 0.0000 0.0000 Tm
0.0000 0.0000 0.5000 Pu
0.5000 0.5000 0.2455 Ge
0.5000 0.5000 0.7545 Ge
```

Results
As for the energy of formation: -0.53 eV/atom.

Number 1: calculated total energy -74.98 eV per formula unit. Number 2: calculated total energy -25.37 eV per formula unit. Number 3: calculated total energy -27.55 eV per formula unit. Number 4: calculated total energy -14.97 eV per formula unit. Number 5: calculated total energy -14.67 eV per formula unit. Number 6: calculated total energy -39.19 eV per formula unit. Number 7: calculated total energy -17.48 eV per formula unit. Number 8: calculated total energy -33.17 eV per formula unit. Number 9: calculated total energy -9.62 eV per formula unit. Number 10: calculated total energy -45.44 eV per formula unit. Number 11: calculated total energy -24.61 eV per formula unit. Number 12: calculated total energy -30.15 eV per formula unit.